Below is an optimized crystal structure of BaMnP2O, with properties calculated at the PBE+U level.

Geometry as CIF:
```
data_BaMnP2O
_symmetry_space_group_name_H-M 'P 1'
_symmetry_Int_Tables_number 1
_cell_length_a 5.865
_cell_length_b 5.865
_cell_length_c 4.376
_cell_angle_alpha 90.00
_cell_angle_beta 90.00
_cell_angle_gamma 90.00
loop_
_symmetry_equiv_pos_as_xyz
'x,y,z'
loop_
_atom_site_label
_atom_site_type_symbol
_atom_site_fract_x
_atom_site_fract_y
_atom_site_fract_z
Ba1 Ba 0.000 0.000 0.000
Mn1 Mn 0.500 0.500 0.500
P1 P 0.000 0.500 0.000
P2 P 0.500 0.000 0.000
O1 O 0.000 0.000 0.500
```

Values from the calculation:
Crystal system: tetragonal
DFT total energy (eV per atom): -3.496